Entry from Alexandria: a relaxed Nd2PuPaN6 crystal (GGA-PBE).

Cell and atoms, written as CIF:
```
data_Nd2PuPaN6
_space_group_name_H-M_alt 'P 1'
_space_group_IT_number 1
_space_group_name_Hall 'P 1'
_cell_length_a 5.9965
_cell_length_b 5.9965
_cell_length_c 5.9546
_cell_angle_alpha 59.77
_cell_angle_beta 59.77
_cell_angle_gamma 60.00
loop_
_atom_site_label
_atom_site_type_symbol
_atom_site_fract_x
_atom_site_fract_y
_atom_site_fract_z
N1 N 0.0997 0.4606 0.7899
N2 N 0.5757 0.1648 0.2780
N3 N 0.4606 0.6498 0.7899
N4 N 0.1648 0.9816 0.2780
N5 N 0.9816 0.5757 0.2780
N6 N 0.6498 0.0998 0.7899
Nd1 Nd 0.5503 0.5503 0.3491
Nd2 Nd 0.0499 0.0499 0.8503
Pa1 Pa 0.8134 0.8134 0.5597
Pu1 Pu 0.3159 0.3159 0.0523
```

## Properties
Magnetization: 1.00 μB per cell
ΔE_f (raw): -12.28 eV per formula unit

=====

Entry from Alexandria: a relaxed TmTh5 crystal (GGA-PBE).

Cell and atoms, written as CIF:
```
data_TmTh5
_space_group_name_H-M_alt 'P 1'
_space_group_IT_number 1
_space_group_name_Hall 'P 1'
_cell_length_a 6.0040
_cell_length_b 5.9968
_cell_length_c 6.1168
_cell_angle_alpha 119.35
_cell_angle_beta 90.00
_cell_angle_gamma 90.00
loop_
_atom_site_label
_atom_site_type_symbol
_atom_site_fract_x
_atom_site_fract_y
_atom_site_fract_z
Th1 Th 0.0000 0.6632 0.3265
Th2 Th 0.5000 0.8285 0.6571
Th3 Th 0.5000 0.5000 0.0000
Th4 Th 0.5000 0.1715 0.3429
Th5 Th 0.0000 0.3368 0.6735
Tm1 Tm 0.0000 0.0000 0.0000
```

## Properties
E above lowest polymorph: 82 meV per atom
Magnetization: 0.00 μB per cell

=====

Entry from Alexandria: a relaxed Sc5PaRu6 crystal (GGA-PBE).

Cell and atoms, written as CIF:
```
data_Sc5PaRu6
_space_group_name_H-M_alt 'P 1'
_space_group_IT_number 1
_space_group_name_Hall 'P 1'
_cell_length_a 4.6154
_cell_length_b 6.5023
_cell_length_c 7.2227
_cell_angle_alpha 90.00
_cell_angle_beta 71.37
_cell_angle_gamma 90.00
loop_
_atom_site_label
_atom_site_type_symbol
_atom_site_fract_x
_atom_site_fract_y
_atom_site_fract_z
Sc1 Sc 0.6727 0.0000 0.6546
Sc2 Sc 0.3320 0.5000 0.3360
Sc3 Sc 0.0000 0.5000 0.0000
Sc4 Sc 0.6680 0.5000 0.6640
Sc5 Sc 0.3273 0.0000 0.3454
Ru1 Ru 0.5000 0.7562 0.0000
Ru2 Ru 0.5000 0.2438 0.0000
Ru3 Ru 0.1628 0.7544 0.6745
Ru4 Ru 0.8372 0.2456 0.3255
Ru5 Ru 0.1628 0.2456 0.6745
Ru6 Ru 0.8372 0.7544 0.3255
Pa1 Pa 0.0000 0.0000 0.0000
```

## Properties
Magnetization: 0.00 μB per cell
Calculated total energy: -8.7251 eV/atom

=====

Entry from Alexandria: a relaxed Au2SeCl crystal (GGA-PBE).

Cell and atoms, written as CIF:
```
data_Au2SeCl
_space_group_name_H-M_alt 'P 1'
_space_group_IT_number 1
_space_group_name_Hall 'P 1'
_cell_length_a 3.7685
_cell_length_b 7.1563
_cell_length_c 3.6285
_cell_angle_alpha 90.00
_cell_angle_beta 90.00
_cell_angle_gamma 90.00
loop_
_atom_site_label
_atom_site_type_symbol
_atom_site_fract_x
_atom_site_fract_y
_atom_site_fract_z
Au1 Au 0.5000 0.5000 0.0000
Au2 Au 0.0000 0.0000 0.0000
Cl1 Cl 0.5000 0.0000 0.5000
Se1 Se 0.0000 0.5000 0.5000
```

## Properties
E above lowest polymorph: 229 meV per atom
Magnetization: 0.00 μB per cell
ΔE_f (raw): 0.82 eV per formula unit